Record 1
The following is a DFT calculation (SCAN) of CoCu3 at its PBEsol-relaxed geometry.

Properties
Symmetry: No. 71
Final energy (eV per cell): -62.24
Calculated formation energy (meV per atom): 165
Magnetic moment (μB per atom): 0.46

Lattice parameters (Å, degrees): 4.832 4.832 4.832 149.30 128.77 60.92
Sites, in units of the cell vectors:
1 Co 0.000 0.000 0.000
2 Cu 0.250 0.750 0.500
3 Cu 0.500 0.500 0.000
4 Cu 0.750 0.250 0.500

***

Record 2
The following is a DFT calculation (SCAN) of LiLa2Ag at its PBEsol-relaxed geometry.

Properties
Symmetry: No. 44
Offset from the most stable computed form (meV per atom): 21
Final energy (eV per cell): -120.34
Calculated formation energy (meV per atom): -93
Magnetic moment (μB per atom): 0.26

Lattice parameters (Å, degrees): 6.308 6.308 6.308 146.73 131.25 60.30
Sites, in units of the cell vectors:
1 Li 0.000 0.000 0.000
2 La 0.283 0.783 0.500
3 La 0.566 0.566 0.000
4 Ag 0.823 0.323 0.500

***

Record 3
The following is a DFT calculation (SCAN) of ZnNiAu2 at its PBEsol-relaxed geometry.

Properties
Symmetry: No. 8
Final energy (eV per cell): -168.40
Calculated formation energy (meV per atom): -99
Magnetic moment (μB per atom): 0.00

Lattice parameters (Å, degrees): 4.946 4.946 4.540 108.12 108.12 33.09
Sites, in units of the cell vectors:
1 Zn 0.000 0.000 0.000
2 Ni 0.714 0.714 0.297
3 Au 0.244 0.244 0.812
4 Au 0.463 0.463 0.472

***

Record 4
The following is a DFT calculation (SCAN) of LiYCd2 at its PBEsol-relaxed geometry.

Properties
Symmetry: No. 65
Final energy (eV per cell): -92.30
Calculated formation energy (meV per atom): -311
Magnetic moment (μB per atom): 0.00

Lattice parameters (Å, degrees): 5.165 5.165 3.417 90.00 90.00 90.10
Sites, in units of the cell vectors:
1 Li 0.000 0.000 0.000
2 Y 0.500 0.500 0.000
3 Cd 0.000 0.500 0.500
4 Cd 0.500 0.000 0.500